Entry 1:
RbAsF2 | PBE | optimized geometry

```
RbAsF2
1.0
0.0000 3.3724 3.3724
3.3724 0.0000 3.3724
3.3724 3.3724 0.0000
Rb As F
1 1 2
direct
0.0000 0.0000 0.0000
0.5000 0.5000 0.5000
0.2500 0.2500 0.2500
0.7500 0.7500 0.7500
```

Computed properties:
The calculation puts the uncorrected formation energy at -1.023 eV per atom. The energy relative to the lowest polymorph listed for this composition is 702.8 meV/atom. The space group is No. 225.

Entry 2:
Rb2AsF8 | PBE | optimized geometry

```
Rb2AsF8
1.0
5.6937 -4.1227 0.0000
5.6937 4.1227 0.0000
-2.0285 0.0000 4.7555
Rb As F
2 1 8
direct
0.1744 0.1744 0.2947
0.8256 0.8256 0.7053
0.5000 0.5000 0.0000
0.0691 0.0691 0.6954
0.2471 0.5513 0.7780
0.4057 0.4057 0.2008
0.4487 0.7529 0.2220
0.5513 0.2471 0.7780
0.5943 0.5943 0.7992
0.7529 0.4487 0.2220
0.9309 0.9309 0.3046
```

Computed properties:
The calculation puts the uncorrected formation energy at -2.261 eV per atom. The space group is No. 12.

Entry 3:
Rb2AsF5 | PBE | optimized geometry

```
Rb2AsF5
1.0
-3.2409 3.2409 3.9419
3.2409 -3.2409 3.9419
3.2409 3.2409 -3.9419
Rb As F
2 1 5
direct
0.0000 0.5000 0.5000
0.5000 0.0000 0.5000
0.2681 0.2681 0.0000
0.0276 0.0276 0.5670
0.0276 0.4606 0.0000
0.0387 0.0387 0.0000
0.4606 0.0276 0.0000
0.4606 0.4606 0.4330
```

Computed properties:
The calculation puts the uncorrected formation energy at -2.506 eV per atom. The space group is No. 107.

Entry 4:
Rb2ReAsF6 | PBE | optimized geometry

```
Rb2ReAsF6
1.0
-3.1472 3.1472 5.4558
3.1472 -3.1472 5.4558
3.1472 3.1472 -5.4558
Rb Re As F
2 1 1 6
direct
0.2500 0.7500 0.5000
0.7500 0.2500 0.5000
0.0000 0.0000 0.0000
0.5000 0.5000 0.0000
0.1827 0.1827 0.0000
0.2252 0.2252 0.4504
0.2252 0.7748 0.0000
0.7748 0.2252 0.0000
0.7748 0.7748 0.5496
0.8173 0.8173 0.0000
```

Computed properties:
The calculation puts the uncorrected formation energy at -1.795 eV per atom. The space group is No. 139.

Entry 5:
Rb2ReAsF | PBE | optimized geometry

```
Rb2ReAsF
1.0
6.8473 0.0000 0.0000
0.0000 6.8473 0.0000
0.0000 0.0000 4.0138
Rb Re As F
2 1 1 1
direct
0.0000 0.5000 0.0000
0.5000 0.0000 0.0000
0.0000 0.0000 0.0000
0.5000 0.5000 0.5000
0.0000 0.0000 0.5000
```

Computed properties:
The calculation puts the uncorrected formation energy at 0.522 eV per atom. The space group is No. 123.

Entry 6:
Rb2AsRuF6 | PBE | optimized geometry

```
Rb2AsRuF6
1.0
-2.9402 2.9402 5.3500
2.9402 -2.9402 5.3500
2.9402 2.9402 -5.3500
Rb As Ru F
2 1 1 6
direct
0.2500 0.7500 0.5000
0.7500 0.2500 0.5000
0.0000 0.0000 0.0000
0.5000 0.5000 0.0000
0.2496 0.2496 0.4993
0.2496 0.7504 0.0000
0.3075 0.3075 0.0000
0.6925 0.6925 0.0000
0.7504 0.2496 0.0000
0.7504 0.7504 0.5007
```

Computed properties:
The calculation puts the uncorrected formation energy at -1.852 eV per atom. The space group is No. 139.